Entry 1:
# Ac2TiN2O2

Ac2TiN2O2 after structural relaxation (PBE-GGA, Alexandria).

Properties
E	-8.38	eV per atom
size of the total moment	0.00	μB per formula unit
E_form (uncorrected)	-2.278	eV per atom

a b c (Å): 4.0552 4.0552 7.0975
angles (deg): 106.60 106.60 90.00
With the nearest neighbours (Å) after each atom.
Sites, in units of the cell vectors:
Ac (0.3641, 0.3641, 0.7281)  1 O 2.56, 4 N 2.69
Ac (0.6359, 0.6359, 0.2719)  1 O 2.56, 4 N 2.69
Ti (0.0000, 0.0000, 0.0000)  4 N 2.03, 2 O 2.17
N (0.0000, 0.5000, 0.0000)  2 Ti 2.03
N (0.5000, 0.0000, 0.0000)  2 Ti 2.03
O (0.1669, 0.1669, 0.3338)  1 Ti 2.17
O (0.8331, 0.8331, 0.6662)  1 Ti 2.17

=====

Entry 2:
# PuTcNiRu

PuTcNiRu after structural relaxation (PBE-GGA, Alexandria).

Properties
E	-9.81	eV per atom
size of the total moment	2.22	μB per formula unit
formation energy from the elements	2.85	kcal/mol of atoms

a b c (Å): 4.4510 4.4510 4.4510
angles (deg): 60.00 60.00 60.00
With the nearest neighbours (Å) after each atom.
Sites, in units of the cell vectors:
Ru (0.0000, 0.0000, 0.0000)  4 Ni 2.73, 4 Pu 2.73
Ni (0.2500, 0.2500, 0.2500)  4 Tc 2.73, 4 Ru 2.73
Tc (0.5000, 0.5000, 0.5000)  4 Pu 2.73, 4 Ni 2.73
Pu (0.7500, 0.7500, 0.7500)  4 Tc 2.73, 4 Ru 2.73

=====

Entry 3:
# Tb6Cu2Hg

Tb6Cu2Hg after structural relaxation (PBE-GGA, Alexandria).

Properties
E	-4.24	eV per atom
size of the total moment	0.00	μB per formula unit
formation energy from the elements	-4.83	kcal/mol of atoms

a b c (Å): 8.5191 8.5191 8.5191
angles (deg): 106.31 109.63 112.53
With the nearest neighbours (Å) after each atom.
Sites, in units of the cell vectors:
Tb (0.5354, 0.7179, 0.8175)  3 Cu 2.99-3.15, 1 Hg 3.21
Tb (0.4646, 0.2821, 0.1825)  3 Cu 2.99-3.15, 1 Hg 3.21
Tb (0.0996, 0.2821, 0.8175)  3 Cu 2.99-3.15, 1 Hg 3.21
Tb (0.9004, 0.7179, 0.1825)  3 Cu 2.99-3.15, 1 Hg 3.21
Tb (0.8058, 0.7586, 0.5644)  1 Cu 2.92, 2 Hg 3.12-3.26
Tb (0.1942, 0.2414, 0.4356)  1 Cu 2.92, 2 Hg 3.12-3.26
Tb (0.1942, 0.7586, 0.9527)  1 Cu 2.92, 2 Hg 3.12-3.26
Tb (0.8058, 0.2414, 0.0473)  1 Cu 2.92, 2 Hg 3.12-3.26
Tb (0.6953, 0.3723, 0.6770)  3 Cu 2.78-2.96
Tb (0.3047, 0.6277, 0.3230)  3 Cu 2.78-2.96
Tb (0.3047, 0.9817, 0.6770)  3 Cu 2.78-2.96
Tb (0.6953, 0.0183, 0.3230)  3 Cu 2.78-2.96
Cu (0.5000, 0.3805, 0.8805)  1 Cu 2.44
Cu (0.5000, 0.6195, 0.1195)  1 Cu 2.44
Cu (0.6475, 0.0000, 0.6475)  1 Cu 2.90, 8 Tb 2.92-3.15
Cu (0.3525, 0.0000, 0.3525)  1 Cu 2.90, 8 Tb 2.92-3.15
Hg (0.0000, 0.5000, 0.5000)  8 Tb 3.26-3.40
Hg (0.0000, 0.0000, 0.0000)  8 Tb 3.12-3.21, 2 Cu 3.46

=====

Entry 4:
# KLaRu3

KLaRu3 after structural relaxation (PBE-GGA, Alexandria).

Properties
E	-4.73	eV per atom
size of the total moment	0.00	μB per formula unit
E above lowest polymorph	430	meV/atom
formation energy from the elements	47.16	kcal/mol of atoms

a b c (Å): 4.7524 4.7524 4.7524
angles (deg): 90.00 90.00 90.00
With the nearest neighbours (Å) after each atom.
Sites, in units of the cell vectors:
Ru (0.0000, 0.5000, 0.0000)  2 K 2.38
Ru (0.0000, 0.0000, 0.5000)  2 K 2.38
Ru (0.5000, 0.0000, 0.0000)  2 K 2.38
K (0.0000, 0.0000, 0.0000)  6 Ru 2.38
La (0.5000, 0.5000, 0.5000)  12 Ru 3.36

=====

Entry 5:
# PtBr3N

PtBr3N after structural relaxation (PBE-GGA, Alexandria).

Properties
E	-3.50	eV per atom
size of the total moment	0.00	μB per formula unit
E above lowest polymorph	0	meV/atom
E_form (uncorrected)	0.376	eV per atom

a b c (Å): 10.4066 4.9375 14.1443
angles (deg): 98.60 90.00 90.00
With the nearest neighbours (Å) after each atom.
Sites, in units of the cell vectors:
Pt (0.6673, 0.6578, 0.4988)  1 N 1.84
Pt (0.3327, 0.3422, 0.5012)  1 N 1.84
Pt (0.1673, 0.8422, 0.0012)  1 N 1.84
Pt (0.8327, 0.1578, 0.9988)  1 N 1.84
Br (0.6870, 0.3297, 0.1268)  1 Pt 2.42
Br (0.3130, 0.6703, 0.8732)  1 Pt 2.42
Br (0.1870, 0.1703, 0.3732)  1 Pt 2.42
Br (0.8130, 0.8297, 0.6268)  1 Pt 2.42
Br (0.4864, 0.5017, 0.3827)  2 Pt 2.53-2.54
Br (0.5136, 0.4983, 0.6173)  2 Pt 2.53-2.54
Br (0.9864, 0.9983, 0.1173)  2 Pt 2.53-2.54
Br (0.0136, 0.0017, 0.8827)  2 Pt 2.53-2.54
Br (0.9348, 0.6720, 0.3865)  1 N 1.84
Br (0.0652, 0.3280, 0.6135)  1 N 1.84
Br (0.4348, 0.8280, 0.1135)  1 N 1.84
Br (0.5652, 0.1720, 0.8865)  1 N 1.84
N (0.7402, 0.2279, 0.8939)  1 Pt 1.84, 1 Br 1.84
N (0.2598, 0.7721, 0.1061)  1 Pt 1.84, 1 Br 1.84
N (0.2402, 0.2721, 0.6061)  1 Pt 1.84, 1 Br 1.84
N (0.7598, 0.7279, 0.3939)  1 Pt 1.84, 1 Br 1.84

=====

Entry 6:
# Na3Sn4Bi2

Na3Sn4Bi2 after structural relaxation (PBE-GGA, Alexandria).

Properties
E	-3.26	eV per atom
size of the total moment	0.00	μB per formula unit
E above lowest polymorph	0	meV/atom
formation energy from the elements	-4.17	kcal/mol of atoms

a b c (Å): 7.1840 9.4103 9.4103
angles (deg): 58.59 89.45 89.45
With the nearest neighbours (Å) after each atom.
Sites, in units of the cell vectors:
Na (0.7462, 0.1629, 0.1728)  7 Sn 3.41-3.73, 3 Bi 3.47-3.65, 2 Na 3.59
Na (0.7538, 0.8272, 0.8371)  7 Sn 3.41-3.73, 3 Bi 3.47-3.65, 2 Na 3.59
Na (0.2538, 0.8371, 0.8272)  7 Sn 3.41-3.73, 3 Bi 3.47-3.65, 2 Na 3.59
Na (0.2462, 0.1728, 0.1629)  7 Sn 3.41-3.73, 3 Bi 3.47-3.65, 2 Na 3.59
Na (0.2500, 0.5008, 0.4992)  4 Bi 3.41-3.68, 8 Sn 3.47-3.75, 2 Na 3.59
Na (0.7500, 0.4992, 0.5008)  4 Bi 3.41-3.68, 8 Sn 3.47-3.75, 2 Na 3.59
Sn (0.5390, 0.8334, 0.1580)  3 Sn 3.04-3.08, 1 Bi 3.17
Sn (0.9610, 0.8420, 0.1666)  3 Sn 3.04-3.08, 1 Bi 3.17
Sn (0.4610, 0.1666, 0.8420)  3 Sn 3.04-3.08, 1 Bi 3.17
Sn (0.0390, 0.1580, 0.8334)  3 Sn 3.04-3.08, 1 Bi 3.17
Sn (0.9743, 0.1599, 0.5091)  2 Sn 3.08-3.12, 2 Bi 3.12-3.19, 1 Na 3.43
Sn (0.5257, 0.4909, 0.8401)  2 Sn 3.08-3.12, 2 Bi 3.12-3.19, 1 Na 3.43
Sn (0.0257, 0.8401, 0.4909)  2 Sn 3.08-3.12, 2 Bi 3.12-3.19, 1 Na 3.43
Sn (0.4743, 0.5091, 0.1599)  2 Sn 3.08-3.12, 2 Bi 3.12-3.19, 1 Na 3.43
Bi (0.5398, 0.1720, 0.5074)  3 Sn 3.12-3.19, 1 Bi 3.37, 2 Na 3.41-3.47
Bi (0.9602, 0.4926, 0.8280)  3 Sn 3.12-3.19, 1 Bi 3.37, 2 Na 3.41-3.47
Bi (0.4602, 0.8280, 0.4926)  3 Sn 3.12-3.19, 1 Bi 3.37, 2 Na 3.41-3.47
Bi (0.0398, 0.5074, 0.1720)  3 Sn 3.12-3.19, 1 Bi 3.37, 2 Na 3.41-3.47

=====

Entry 7:
# Mg8CdAu2

Mg8CdAu2 after structural relaxation (PBE-GGA, Alexandria).

Properties
E	-2.10	eV per atom
size of the total moment	0.00	μB per formula unit
E above lowest polymorph	31	meV/atom
formation energy from the elements	-6.05	kcal/mol of atoms

a b c (Å): 5.0835 7.3886 7.3886
angles (deg): 113.65 99.01 99.01
With the nearest neighbours (Å) after each atom.
Sites, in units of the cell vectors:
Mg (0.9098, 0.9264, 0.6783)  2 Au 2.73-2.78
Mg (0.9098, 0.6783, 0.9264)  2 Au 2.73-2.78
Mg (0.3060, 0.6139, 0.6139)  2 Au 2.81, 1 Cd 2.99, 2 Mg 3.06-3.13
Mg (0.5000, 0.7583, 0.2417)  2 Au 2.68, 1 Cd 2.99
Mg (0.5000, 0.2417, 0.7583)  2 Au 2.68, 1 Cd 2.99
Mg (0.6940, 0.3861, 0.3861)  2 Au 2.81, 1 Cd 2.99, 2 Mg 3.06-3.13
Mg (0.0902, 0.3217, 0.0736)  2 Au 2.73-2.78
Mg (0.0902, 0.0736, 0.3217)  2 Au 2.73-2.78
Cd (0.5000, 0.0000, 0.0000)  12 Mg 2.99-3.34
Au (0.0000, 0.3116, 0.6884)  8 Mg 2.68-2.81
Au (0.0000, 0.6884, 0.3116)  8 Mg 2.68-2.81

=====

Entry 8:
# RbPtBr5

RbPtBr5 after structural relaxation (PBE-GGA, Alexandria).

Properties
E	-2.76	eV per atom
size of the total moment	0.00	μB per formula unit
E above lowest polymorph	75	meV/atom
E_form (uncorrected)	-0.561	eV per atom

a b c (Å): 7.6108 7.0478 7.0478
angles (deg): 74.53 57.32 57.32
With the nearest neighbours (Å) after each atom.
Sites, in units of the cell vectors:
Rb (0.7371, 0.0000, 0.0000)  4 Br 3.59-3.64
Pt (0.6587, 0.5000, 0.5000)  5 Br 2.42-2.48
Br (0.9647, 0.1992, 0.1992)  1 Pt 2.48
Br (0.9768, 0.5000, 0.5000)  1 Pt 2.42
Br (0.3632, 0.8008, 0.8008)  1 Pt 2.48
Br (0.4151, 0.3081, 0.6919)  1 Pt 2.47
Br (0.4151, 0.6919, 0.3081)  1 Pt 2.47

=====

Entry 9:
# AcTbNdGa

AcTbNdGa after structural relaxation (PBE-GGA, Alexandria).

Properties
E	-4.11	eV per atom
size of the total moment	0.00	μB per formula unit
formation energy from the elements	0.53	kcal/mol of atoms

a b c (Å): 5.5509 5.5509 5.5509
angles (deg): 60.00 60.00 60.00
With the nearest neighbours (Å) after each atom.
Sites, in units of the cell vectors:
Nd (0.2500, 0.2500, 0.2500)  4 Ac 3.40, 4 Ga 3.40
Ac (0.0000, 0.0000, 0.0000)  4 Tb 3.40, 4 Nd 3.40
Tb (0.7500, 0.7500, 0.7500)  4 Ga 3.40, 4 Ac 3.40
Ga (0.5000, 0.5000, 0.5000)  4 Tb 3.40, 4 Nd 3.40

=====

Entry 10:
# RePtSe2

RePtSe2 after structural relaxation (PBE-GGA, Alexandria).

Properties
E	-5.92	eV per atom
size of the total moment	0.00	μB per formula unit
E above lowest polymorph	352	meV/atom
E_form (uncorrected)	0.440	eV per atom

a b c (Å): 2.8769 2.8769 10.1125
angles (deg): 90.00 90.00 117.21
With the nearest neighbours (Å) after each atom.
Sites, in units of the cell vectors:
Pt (0.0000, 0.0000, 0.5185)  2 Se 2.73, 2 Re 2.73, 6 Pt 2.88-3.00
Re (0.5000, 0.5000, 0.7444)  2 Se 2.52, 2 Pt 2.73
Se (0.0000, 0.0000, 0.9445)  2 Re 2.52
Se (0.5000, 0.5000, 0.2926)  2 Pt 2.73, 6 Se 2.88-3.00

=====

Entry 11:
# Zr2CdAu

Zr2CdAu after structural relaxation (PBE-GGA, Alexandria).

Properties
E	-5.26	eV per atom
size of the total moment	0.00	μB per formula unit
formation energy from the elements	1.39	kcal/mol of atoms

a b c (Å): 7.9678 7.9678 6.3154
angles (deg): 50.89 50.89 90.00
With the nearest neighbours (Å) after each atom.
Sites, in units of the cell vectors:
Au (0.0000, 0.0000, 0.0000)  4 Zr 2.77, 2 Cd 2.85
Au (0.7500, 0.2500, 0.5000)  4 Zr 2.77, 2 Cd 2.85
Zr (0.6510, 0.1250, 0.2500)  2 Au 2.77, 2 Zr 2.88, 2 Cd 3.05
Zr (0.0990, 0.6250, 0.2500)  2 Au 2.77, 2 Zr 2.88, 2 Cd 3.05
Zr (0.3750, 0.3490, 0.7500)  2 Au 2.77, 2 Zr 2.88, 2 Cd 3.05
Zr (0.8750, 0.9010, 0.7500)  2 Au 2.77, 2 Zr 2.88, 2 Cd 3.05
Cd (0.5000, 0.5000, 0.0000)  2 Au 2.85, 4 Zr 3.05
Cd (0.2500, 0.7500, 0.5000)  2 Au 2.85, 4 Zr 3.05

=====

Entry 12:
# TlAgPb

TlAgPb after structural relaxation (PBE-GGA, Alexandria).

Properties
E	-2.94	eV per atom
size of the total moment	0.00	μB per formula unit
formation energy from the elements	0.91	kcal/mol of atoms

a b c (Å): 5.9164 6.0309 5.9166
angles (deg): 76.60 58.49 103.41
With the nearest neighbours (Å) after each atom.
Sites, in units of the cell vectors:
Pb (0.3378, 0.7822, 0.8505)  4 Ag 3.12, 1 Pb 3.34
Pb (0.6529, 0.4112, 0.5354)  4 Ag 3.12, 1 Pb 3.34
Tl (0.8391, 0.0965, 0.0369)  4 Ag 3.17-3.18, 3 Tl 3.23-3.48
Tl (0.1516, 0.0965, 0.3493)  4 Ag 3.16-3.18, 3 Tl 3.23-3.48
Ag (0.2447, 0.5963, 0.4428)  2 Ag 2.89, 4 Pb 3.12, 4 Tl 3.16-3.18
Ag (0.7456, 0.5964, 0.9435)  2 Ag 2.89, 4 Pb 3.12, 4 Tl 3.17-3.18